(1)
A relaxed WAuBr crystal. Source: Alexandria, functional PBE-GGA.

Calculated values
ΔE to the lowest computed polymorph: 216 meV/atom
Total magnetic moment: 0.0 μB per formula unit
Density of states at the Fermi level: 2.476 states/eV/f.u.

Geometry as POSCAR:
```
WAuBr
1.0
0.000 2.680 7.673
1.494 0.000 7.673
1.494 2.680 0.000
W Au Br
1 1 1
Cartesian
0.000 0.000 0.000
1.494 2.680 5.325
1.494 2.680 9.765
```

(2)
A relaxed HfPt3Rh3 crystal. Source: Alexandria, functional PBE-GGA.

Calculated values
Energy of formation from the pure elements: -323 meV/atom
Total magnetic moment: 0.0 μB per formula unit
Density of states at the Fermi level: 8.966 states/eV/f.u.

Geometry as POSCAR:
```
HfPt3Rh3
1.0
3.818 -3.903 0.000
3.818 3.903 0.000
0.000 0.000 7.869
Hf Pt Rh
2 6 6
Cartesian
1.714 0.000 0.000
5.922 0.000 0.000
1.909 1.952 1.977
1.909 1.952 5.892
1.909 -1.952 1.977
1.909 -1.952 5.892
3.818 0.000 2.034
3.818 0.000 5.835
1.750 0.000 3.935
3.818 1.976 3.935
3.818 1.881 0.000
3.818 -1.881 0.000
3.818 -1.976 3.935
5.885 0.000 3.935
```

(3)
A relaxed PmZnP crystal. Source: Alexandria, functional PBE-GGA.

Calculated values
Energy of formation from the pure elements: -476 meV/atom
ΔE to the lowest computed polymorph: 373 meV/atom
Total magnetic moment: 0.0 μB per formula unit
Density of states at the Fermi level: 1.476 states/eV/f.u.

Geometry as POSCAR:
```
PmZnP
1.0
-2.012 2.012 4.119
2.012 -2.012 4.119
2.012 2.012 -4.119
Pm Zn P
1 1 1
Cartesian
0.000 0.000 0.000
0.000 0.000 5.382
0.000 0.000 2.962
```

(4)
A relaxed InHgP2O crystal. Source: Alexandria, functional PBE-GGA.

Calculated values
ΔE to the lowest computed polymorph: 0 meV/atom
Total magnetic moment: 0.0 μB per formula unit
Density of states at the Fermi level: 6.070 states/eV/f.u.

Geometry as POSCAR:
```
InHgP2O
1.0
5.300 0.000 0.000
0.000 5.300 0.000
0.000 0.000 3.971
In Hg P O
1 1 2 1
Cartesian
0.000 0.000 0.000
2.650 2.650 1.986
0.000 2.650 0.000
2.650 0.000 0.000
0.000 0.000 1.986
```

(5)
A relaxed NaInSn2 crystal. Source: Alexandria, functional PBE-GGA.

Calculated values
Energy of formation from the pure elements: 4 meV/atom
Total magnetic moment: 0.0 μB per formula unit
Density of states at the Fermi level: 1.352 states/eV/f.u.

Geometry as POSCAR:
```
NaInSn2
1.0
2.519 1.454 5.420
-2.519 1.454 5.420
0.000 -2.909 5.420
Na In Sn
1 1 2
Cartesian
0.000 0.000 0.000
0.000 0.000 13.092
0.000 0.000 3.539
0.000 0.000 6.733
```

(6)
A relaxed CaNdLuAl crystal. Source: Alexandria, functional PBE-GGA.

Calculated values
Energy of formation from the pure elements: -38 meV/atom
Total magnetic moment: 0.0 μB per formula unit
Density of states at the Fermi level: 2.845 states/eV/f.u.

Geometry as POSCAR:
```
CaNdLuAl
1.0
0.000 3.829 3.829
3.829 0.000 3.829
3.829 3.829 0.000
Ca Nd Lu Al
1 1 1 1
Cartesian
0.000 0.000 0.000
1.915 1.915 1.915
5.744 5.744 5.744
3.829 3.829 3.829
```

(7)
A relaxed Mg2SbCl crystal. Source: Alexandria, functional PBE-GGA.

Calculated values
ΔE to the lowest computed polymorph: 629 meV/atom
Total magnetic moment: 0.0 μB per formula unit
Density of states at the Fermi level: 2.170 states/eV/f.u.

Geometry as POSCAR:
```
Mg2SbCl
1.0
0.000 3.632 3.632
3.632 0.000 3.632
3.632 3.632 0.000
Mg Sb Cl
2 1 1
Cartesian
0.000 0.000 0.000
1.816 1.816 1.816
5.447 5.447 5.447
3.632 3.632 3.632
```

(8)
A relaxed ErHf2Sc8 crystal. Source: Alexandria, functional PBE-GGA.

Calculated values
Energy of formation from the pure elements: 176 meV/atom
Total magnetic moment: 0.0 μB per formula unit
Density of states at the Fermi level: 12.939 states/eV/f.u.

Geometry as POSCAR:
```
ErHf2Sc8
1.0
4.202 -7.577 0.000
4.202 7.577 0.000
-3.277 0.000 4.275
Er Hf Sc
1 2 8
Cartesian
0.000 0.000 0.000
2.563 2.883 2.138
2.563 -2.883 2.138
-0.407 1.952 2.999
4.202 4.429 0.000
-0.407 -1.952 2.999
3.097 0.000 0.954
2.029 0.000 3.321
5.533 1.952 1.276
4.202 -4.429 0.000
5.533 -1.952 1.276
```

Computed calculated total energy (eV per atom) in order:
-5.227; -7.484; -4.288; -3.135; -3.012; -3.797; -2.401; -6.654